Arrangement w

Material: PmDy2Hf
Method: DFT, PBE
State: optimized geometry

Geometry as POSCAR:
```
PmDy2Hf
1.0
1.6775 0.9685 12.0682
-1.6775 0.9685 12.0682
0.0000 -1.9370 12.0682
Pm Dy Hf
1 2 1
direct
0.0000 0.0000 0.0000
0.4146 0.4146 0.4146
0.5854 0.5854 0.5854
0.5000 0.5000 0.5000
```

Values from the calculation:
For the calculated volume, the calculation gives 117.6 Å³ per cell. As for the space-group type: R-3m, No. 166.



Arrangement x

Material: PmDy2Hf
Method: DFT, PBE
State: optimized geometry

Geometry as POSCAR:
```
PmDy2Hf
1.0
1.7258 0.9964 11.3060
-1.7258 0.9964 11.3060
0.0000 -1.9928 11.3060
Pm Dy Hf
1 2 1
direct
0.0000 0.0000 0.0000
0.2435 0.2435 0.2435
0.4230 0.4230 0.4230
0.8335 0.8335 0.8335
```

Values from the calculation:
For the calculated volume, the calculation gives 116.7 Å³ per cell. As for the space-group type: R3m, No. 160.



Decreasing stability: arrangement x, arrangement w



Arrangement w

Material: Dy2PuHf
Method: DFT, PBE
State: optimized geometry

Geometry as POSCAR:
```
Dy2PuHf
1.0
1.6416 0.9478 11.8580
-1.6416 0.9478 11.8580
0.0000 -1.8956 11.8580
Dy Pu Hf
2 1 1
direct
0.0877 0.0877 0.0877
0.9123 0.9123 0.9123
0.5000 0.5000 0.5000
0.0000 0.0000 0.0000
```

Values from the calculation:
For the calculated volume, the calculation gives 110.7 Å³ per cell. As for the space-group type: R-3m, No. 166.



Arrangement x

Material: Dy2PuHf
Method: DFT, PBE
State: optimized geometry

Geometry as POSCAR:
```
Dy2PuHf
1.0
4.7537 0.0000 0.0000
0.0000 4.7537 0.0000
0.0000 0.0000 4.8198
Dy Pu Hf
2 1 1
direct
0.0000 0.5000 0.0000
0.5000 0.0000 0.0000
0.0000 0.0000 0.5000
0.5000 0.5000 0.5000
```

Values from the calculation:
For the calculated volume, the calculation gives 108.9 Å³ per cell. As for the space-group type: P4/mmm, No. 123.



Decreasing stability: arrangement x, arrangement w



Arrangement w

Material: DyPu2Hf
Method: DFT, PBE
State: optimized geometry

Geometry as POSCAR:
```
DyPu2Hf
1.0
1.6614 0.9592 10.9150
-1.6614 0.9592 10.9150
0.0000 -1.9185 10.9150
Dy Pu Hf
1 2 1
direct
0.0000 0.0000 0.0000
0.2454 0.2454 0.2454
0.7546 0.7546 0.7546
0.5000 0.5000 0.5000
```

Values from the calculation:
For the calculated volume, the calculation gives 104.4 Å³ per cell. As for the space-group type: R-3m, No. 166.



Arrangement x

Material: DyPu2Hf
Method: DFT, PBE
State: optimized geometry

Geometry as POSCAR:
```
DyPu2Hf
1.0
4.6577 0.0000 0.0000
0.0000 4.6577 0.0000
0.0000 0.0000 4.7483
Dy Pu Hf
1 2 1
direct
0.0000 0.0000 0.0000
0.0000 0.5000 0.5000
0.5000 0.0000 0.5000
0.5000 0.5000 0.0000
```

Values from the calculation:
For the calculated volume, the calculation gives 103.0 Å³ per cell. As for the space-group type: P4/mmm, No. 123.



Arrangement y

Material: DyPu2Hf
Method: DFT, PBE
State: optimized geometry

Geometry as POSCAR:
```
DyPu2Hf
1.0
3.2806 0.0000 0.0000
0.0000 3.2806 0.0000
0.0000 0.0000 9.6710
Dy Pu Hf
1 2 1
direct
0.0000 0.0000 0.0000
0.5000 0.5000 0.2685
0.5000 0.5000 0.7315
0.0000 0.0000 0.5000
```

Values from the calculation:
For the calculated volume, the calculation gives 104.1 Å³ per cell. As for the space-group type: P4/mmm, No. 123.



Decreasing stability: arrangement y, arrangement w, arrangement x



Arrangement w

Material: DyHfRh4
Method: DFT, PBE
State: optimized geometry

Geometry as POSCAR:
```
DyHfRh4
1.0
3.1370 0.0000 0.0000
0.0000 4.5489 0.0000
0.0000 0.0000 7.7739
Dy Hf Rh
1 1 4
direct
0.0000 0.0000 0.0000
0.5000 0.5000 0.5000
0.0000 0.5000 0.2287
0.0000 0.5000 0.7713
0.5000 0.0000 0.3028
0.5000 0.0000 0.6972
```

Values from the calculation:
For the calculated volume, the calculation gives 110.9 Å³ per cell. As for the space-group type: Pmmm, No. 47.



Arrangement x

Material: DyHfRh4
Method: DFT, PBE
State: optimized geometry

Geometry as POSCAR:
```
DyHfRh4
1.0
0.0000 3.7214 3.7214
3.7214 0.0000 3.7214
3.7214 3.7214 0.0000
Dy Hf Rh
1 1 4
direct
0.0000 0.0000 0.0000
0.7500 0.7500 0.7500
0.3752 0.3752 0.3752
0.3752 0.3752 0.8745
0.3752 0.8745 0.3752
0.8745 0.3752 0.3752
```

Values from the calculation:
For the calculated volume, the calculation gives 103.1 Å³ per cell. As for the space-group type: F-43m, No. 216.



Decreasing stability: arrangement x, arrangement w



Arrangement w

Material: Dy2HfSc4
Method: DFT, PBE
State: optimized geometry

Geometry as POSCAR:
```
Dy2HfSc4
1.0
2.9066 -1.6781 0.0000
2.9066 1.6781 0.0000
-1.9353 0.0000 18.5706
Dy Hf Sc
2 1 4
direct
0.0000 0.0000 0.0000
0.0988 0.0988 0.2954
0.1922 0.1922 0.5794
0.2833 0.2833 0.8516
0.3833 0.3833 0.1485
0.8152 0.8152 0.4477
0.9030 0.9030 0.7123
```

Values from the calculation:
For the calculated volume, the calculation gives 181.2 Å³ per cell. As for the space-group type: Cm, No. 8.



Arrangement x

Material: Dy2HfSc4
Method: DFT, PBE
State: optimized geometry

Geometry as POSCAR:
```
Dy2HfSc4
1.0
-2.5294 2.5294 8.1523
2.5294 -2.5294 8.1523
2.5294 2.5294 -8.1523
Dy Hf Sc
2 1 4
direct
0.1278 0.1278 0.0000
0.8722 0.8722 0.0000
0.5000 0.5000 0.0000
0.0000 0.5000 0.5000
0.3271 0.3271 0.0000
0.5000 0.0000 0.5000
0.6729 0.6729 0.0000
```

Values from the calculation:
For the calculated volume, the calculation gives 208.6 Å³ per cell. As for the space-group type: I4/mmm, No. 139.



Decreasing stability: arrangement w, arrangement x



Arrangement w

Material: DyHf2Sc
Method: DFT, PBE
State: optimized geometry

Geometry as POSCAR:
```
DyHf2Sc
1.0
3.7133 0.0000 0.0000
0.0000 3.7133 0.0000
0.0000 0.0000 7.1533
Dy Hf Sc
1 2 1
direct
0.0000 0.0000 0.0000
0.5000 0.5000 0.2856
0.5000 0.5000 0.7144
0.0000 0.0000 0.5000
```

Values from the calculation:
For the calculated volume, the calculation gives 98.6 Å³ per cell. As for the space-group type: P4/mmm, No. 123.



Arrangement x

Material: DyHf2Sc
Method: DFT, PBE
State: optimized geometry

Geometry as POSCAR:
```
DyHf2Sc
1.0
1.6197 0.9351 10.7256
-1.6197 0.9351 10.7256
0.0000 -1.8703 10.7256
Dy Hf Sc
1 2 1
direct
0.0000 0.0000 0.0000
0.2477 0.2477 0.2477
0.7523 0.7523 0.7523
0.5000 0.5000 0.5000
```

Values from the calculation:
For the calculated volume, the calculation gives 97.5 Å³ per cell. As for the space-group type: R-3m, No. 166.



Arrangement y

Material: DyHf2Sc
Method: DFT, PBE
State: optimized geometry

Geometry as POSCAR:
```
DyHf2Sc
1.0
1.6351 0.9440 10.5662
-1.6351 0.9440 10.5662
0.0000 -1.8880 10.5662
Dy Hf Sc
1 2 1
direct
0.0000 0.0000 0.0000
0.5811 0.5811 0.5811
0.7525 0.7525 0.7525
0.1663 0.1663 0.1663
```

Values from the calculation:
For the calculated volume, the calculation gives 97.9 Å³ per cell. As for the space-group type: R3m, No. 160.



Decreasing stability: arrangement y, arrangement x, arrangement w



Arrangement w

Material: DyHfSc4
Method: DFT, PBE
State: optimized geometry

Geometry as POSCAR:
```
DyHfSc4
1.0
4.1358 -6.6240 0.0000
4.1358 6.6240 0.0000
-2.0137 0.0000 5.6250
Dy Hf Sc
2 2 8
direct
0.0865 0.9135 0.7500
0.9135 0.0865 0.2500
0.4974 0.5026 0.2500
0.5026 0.4974 0.7500
0.0860 0.3413 0.8748
0.2165 0.5951 0.4652
0.3413 0.0860 0.3748
0.4049 0.7835 0.0348
0.5951 0.2165 0.9652
0.6587 0.9140 0.6252
0.7835 0.4049 0.5348
0.9140 0.6587 0.1252
```

Values from the calculation:
For the calculated volume, the calculation gives 308.2 Å³ per cell. As for the space-group type: C2/c, No. 15.



Arrangement x

Material: DyHfSc4
Method: DFT, PBE
State: optimized geometry

Geometry as POSCAR:
```
DyHfSc4
1.0
5.1778 0.0000 0.0000
0.0000 1.6580 8.7488
0.0000 -1.6580 8.7488
Dy Hf Sc
1 1 4
direct
0.0000 0.0000 0.0000
0.5000 0.7774 0.7774
0.0000 0.3290 0.3290
0.0000 0.6712 0.6712
0.5000 0.1175 0.1175
0.5000 0.4349 0.4349
```

Values from the calculation:
For the calculated volume, the calculation gives 150.2 Å³ per cell. As for the space-group type: Amm2, No. 38.



Decreasing stability: arrangement x, arrangement w



Arrangement w

Material: SmDy2Hf
Method: DFT, PBE
State: optimized geometry

Geometry as POSCAR:
```
SmDy2Hf
1.0
1.7245 0.9957 11.2718
-1.7245 0.9957 11.2718
0.0000 -1.9913 11.2718
Sm Dy Hf
1 2 1
direct
0.0000 0.0000 0.0000
0.5773 0.5773 0.5773
0.7562 0.7562 0.7562
0.1665 0.1665 0.1665
```

Values from the calculation:
For the calculated volume, the calculation gives 116.1 Å³ per cell. As for the space-group type: R3m, No. 160.



Arrangement x

Material: SmDy2Hf
Method: DFT, PBE
State: optimized geometry

Geometry as POSCAR:
```
SmDy2Hf
1.0
0.0000 3.8831 3.8831
3.8831 0.0000 3.8831
3.8831 3.8831 0.0000
Sm Dy Hf
1 2 1
direct
0.0000 0.0000 0.0000
0.2500 0.2500 0.2500
0.7500 0.7500 0.7500
0.5000 0.5000 0.5000
```

Values from the calculation:
For the calculated volume, the calculation gives 117.1 Å³ per cell. As for the space-group type: Fm-3m, No. 225.



Decreasing stability: arrangement w, arrangement x



Arrangement w

Material: SmDy2Hf
Method: DFT, PBE
State: optimized geometry

Geometry as POSCAR:
```
SmDy2Hf
1.0
3.9903 0.0000 0.0000
0.0000 3.9903 0.0000
0.0000 0.0000 7.3904
Sm Dy Hf
1 2 1
direct
0.0000 0.0000 0.0000
0.5000 0.5000 0.2817
0.5000 0.5000 0.7183
0.0000 0.0000 0.5000
```

Values from the calculation:
For the calculated volume, the calculation gives 117.7 Å³ per cell. As for the space-group type: P4/mmm, No. 123.



Arrangement x

Material: SmDy2Hf
Method: DFT, PBE
State: optimized geometry

Geometry as POSCAR:
```
SmDy2Hf
1.0
4.8586 0.0000 0.0000
0.0000 4.8586 0.0000
0.0000 0.0000 4.8850
Sm Dy Hf
1 2 1
direct
0.0000 0.0000 0.0000
0.0000 0.5000 0.5000
0.5000 0.0000 0.5000
0.5000 0.5000 0.0000
```

Values from the calculation:
For the calculated volume, the calculation gives 115.3 Å³ per cell. As for the space-group type: P4/mmm, No. 123.



Decreasing stability: arrangement x, arrangement w



Arrangement w

Material: Dy2HfSn
Method: DFT, PBE
State: optimized geometry

Geometry as POSCAR:
```
Dy2HfSn
1.0
1.6920 0.9769 11.5409
-1.6920 0.9769 11.5409
0.0000 -1.9537 11.5409
Dy Hf Sn
2 1 1
direct
0.0911 0.0911 0.0911
0.9089 0.9089 0.9089
0.5000 0.5000 0.5000
0.0000 0.0000 0.0000
```

Values from the calculation:
For the calculated volume, the calculation gives 114.5 Å³ per cell. As for the space-group type: R-3m, No. 166.



Arrangement x

Material: Dy2HfSn
Method: DFT, PBE
State: optimized geometry

Geometry as POSCAR:
```
Dy2HfSn
1.0
4.6575 0.0000 0.0000
0.0000 4.6575 0.0000
0.0000 0.0000 4.6788
Dy Hf Sn
2 1 1
direct
0.0000 0.5000 0.0000
0.5000 0.0000 0.0000
0.0000 0.0000 0.5000
0.5000 0.5000 0.5000
```

Values from the calculation:
For the calculated volume, the calculation gives 101.5 Å³ per cell. As for the space-group type: P4/mmm, No. 123.



Decreasing stability: arrangement x, arrangement w



Arrangement w

Material: DyHf2Ta
Method: DFT, PBE
State: optimized geometry

Geometry as POSCAR:
```
DyHf2Ta
1.0
1.5852 0.9152 10.5577
-1.5852 0.9152 10.5577
0.0000 -1.8304 10.5577
Dy Hf Ta
1 2 1
direct
0.0000 0.0000 0.0000
0.2423 0.2423 0.2423
0.7577 0.7577 0.7577
0.5000 0.5000 0.5000
```

Values from the calculation:
For the calculated volume, the calculation gives 91.9 Å³ per cell. As for the space-group type: R-3m, No. 166.



Arrangement x

Material: DyHf2Ta
Method: DFT, PBE
State: optimized geometry

Geometry as POSCAR:
```
DyHf2Ta
1.0
3.5384 0.0000 0.0000
0.0000 3.5384 0.0000
0.0000 0.0000 7.4611
Dy Hf Ta
1 2 1
direct
0.0000 0.0000 0.0000
0.5000 0.5000 0.2962
0.5000 0.5000 0.7038
0.0000 0.0000 0.5000
```

Values from the calculation:
For the calculated volume, the calculation gives 93.4 Å³ per cell. As for the space-group type: P4/mmm, No. 123.



Decreasing stability: arrangement x, arrangement w



Arrangement w

Material: TbDyHf
Method: DFT, PBE
State: optimized geometry

Geometry as POSCAR:
```
TbDyHf
1.0
5.3395 0.0000 0.0000
-2.6698 4.6242 0.0000
0.0000 0.0000 3.3788
Tb Dy Hf
1 1 1
direct
0.0000 0.0000 0.0000
0.3333 0.6667 0.5000
0.6667 0.3333 0.5000
```

Values from the calculation:
For the calculated volume, the calculation gives 83.4 Å³ per cell. As for the space-group type: P-6m2, No. 187.



Arrangement x

Material: TbDyHf
Method: DFT, PBE
State: optimized geometry

Geometry as POSCAR:
```
TbDyHf
1.0
-1.6812 1.6812 7.4249
1.6812 -1.6812 7.4249
1.6812 1.6812 -7.4249
Tb Dy Hf
1 1 1
direct
0.0000 0.0000 0.0000
0.3098 0.3098 0.0000
0.6556 0.6556 0.0000
```

Values from the calculation:
For the calculated volume, the calculation gives 83.9 Å³ per cell. As for the space-group type: I4mm, No. 107.



Arrangement y

Material: TbDyHf
Method: DFT, PBE
State: optimized geometry

Geometry as POSCAR:
```
TbDyHf
1.0
3.3910 0.0000 0.0000
0.0000 4.6992 0.0000
0.0000 0.0000 10.4793
Tb Dy Hf
2 2 2
direct
0.2500 0.2500 0.0912
0.7500 0.7500 0.9088
0.2500 0.2500 0.7298
0.7500 0.7500 0.2702
0.2500 0.2500 0.4318
0.7500 0.7500 0.5682
```

Values from the calculation:
For the calculated volume, the calculation gives 167.0 Å³ per cell. As for the space-group type: Pmmn, No. 59.



Decreasing stability: arrangement x, arrangement y, arrangement w